The following is a DFT calculation (GGA-PBE) of Li2CaLaTl2 after structural relaxation.

Cell: 5.027 5.027 7.419 Å, 90.00 90.00 120.00°
Atoms (fractional coordinates):
Li 0.333 0.667 0.745
Li 0.667 0.333 0.255
Ca 0.000 0.000 0.500
La 0.000 0.000 0.000
Tl 0.333 0.667 0.233
Tl 0.667 0.333 0.767

Summary:
Formation enthalpy at 0 K, eV/atom: -0.302